No. 1
Below is crystalline LiY2Pb2 at its relaxed geometry, with properties calculated at the PBE-GGA level.

abc: 9.1928 9.1928 3.5218
angles: 90.00 90.00 90.00
Last column: nearest neighbours and their distance in Å.
Space group P4/mbm (No. 127)
Inequivalent atoms, fractional coordinates:
1 Li 0.0000 0.0000 0.0000  2 Li 3.52, 4 Y 3.59, 8 Pb 3.84
2 Y 0.1321 0.3679 0.0000  6 Pb 3.13-3.30, 1 Y 3.43
3 Pb 0.1692 0.6692 0.5000  6 Y 3.13-3.30

Properties
Its relative energy among the computed polymorphs is 0.174 eV per atom. The calculation puts the spin magnetization at 0.278 μB/f.u. The value obtained for the energy of formation from the pure elements is -280 meV per atom. For the raw total energy, the calculation gives -4.732 eV per atom.


No. 2
Below is crystalline RbTlPb2O4 at its relaxed geometry, with properties calculated at the PBE-GGA level.

abc: 7.2185 7.7538 10.6603
angles: 90.00 90.00 90.00
Last column: nearest neighbours and their distance in Å.
Space group Imma (No. 74)
Inequivalent atoms, fractional coordinates:
1 Rb 0.2500 0.2500 0.2500  6 O 2.97-3.13
2 Tl 0.0000 0.0000 0.0000  6 O 2.78
3 Pb 0.0000 0.0000 0.5000  6 O 2.60-2.61
4 Pb 0.2500 0.2500 0.7500  6 O 2.20-2.36
5 O 0.0000 0.0536 0.7420  3 Pb 2.36-2.61
6 O 0.2310 0.2500 0.5437  1 Pb 2.20

Properties
The calculation puts the spin magnetization at 0.000 μB/f.u. The energy relative to the elements, uncorrected is -0.914 eV per atom. For the raw total energy, the calculation gives -4.737 eV per atom.


No. 3
Below is crystalline TbPa4As6 at its relaxed geometry, with properties calculated at the PBE-GGA level.

abc: 11.3160 11.3160 13.9965
angles: 90.00 90.00 120.00
Last column: nearest neighbours and their distance in Å.
Space group R-3c (No. 167, hexagonal axes)
Inequivalent atoms, fractional coordinates:
1 Tb 0.0000 0.0000 0.0000  6 As 2.77
2 Pa 0.0000 0.0000 0.2500  6 As 2.92
3 Pa 0.0000 0.3887 0.2500  8 As 2.89-3.14
4 As 0.0320 0.2121 0.3834  1 Tb 2.77, 4 Pa 2.89-3.07

Properties
The calculation puts the spin magnetization at 0.008 μB/f.u. The value obtained for the energy of formation from the pure elements is -901 meV per atom. For the raw total energy, the calculation gives -7.311 eV per atom.


No. 4
Below is crystalline Li2HgAs at its relaxed geometry, with properties calculated at the PBE-GGA level.

abc: 8.3051 3.1072 5.8958
angles: 90.00 99.99 90.00
Last column: nearest neighbours and their distance in Å.
Space group C2/m (No. 12)
Inequivalent atoms, fractional coordinates:
1 Li 0.2400 0.0000 0.2042  3 As 2.65, 1 Hg 2.87, 2 Li 2.89
2 Hg 0.0000 0.0000 0.5000  6 Li 2.87-2.97, 2 Hg 3.11
3 As 0.0000 0.5000 0.0000  6 Li 2.65

Properties
The calculation puts the spin magnetization at 0.000 μB/f.u. The value obtained for the energy of formation from the pure elements is -340 meV per atom. For the raw total energy, the calculation gives -2.535 eV per atom.


No. 5
Below is crystalline Tc2HgW at its relaxed geometry, with properties calculated at the PBE-GGA level.

abc: 3.9426 3.9426 8.2898
angles: 90.00 90.00 90.00
Last column: nearest neighbours and their distance in Å.
Space group I-4m2 (No. 119)
Inequivalent atoms, fractional coordinates:
1 Tc 0.0000 0.0000 0.0000  4 Hg 2.79, 4 W 2.86, 4 Tc 2.86
2 Tc 0.0000 0.5000 0.2500  4 W 2.79, 4 Hg 2.86, 4 Tc 2.86
3 Hg 0.0000 0.0000 0.5000  8 Tc 2.79-2.86, 4 W 2.86
4 W 0.0000 0.5000 0.7500  8 Tc 2.79-2.86, 4 Hg 2.86

Properties
The calculation puts the spin magnetization at 0.005 μB/f.u. The value obtained for the energy of formation from the pure elements is 552 meV per atom. For the raw total energy, the calculation gives -7.945 eV per atom.


No. 6
Below is crystalline TmScCdBi at its relaxed geometry, with properties calculated at the PBE-GGA level.

abc: 7.4217 7.4217 7.4217
angles: 90.00 90.00 90.00
Last column: nearest neighbours and their distance in Å.
Space group F-43m (No. 216)
Inequivalent atoms, fractional coordinates:
1 Tm 0.0000 0.0000 0.0000  4 Cd 3.21, 4 Bi 3.21
2 Sc 0.0000 0.0000 0.5000  4 Cd 3.21, 4 Bi 3.21
3 Cd 0.2500 0.2500 0.7500  4 Tm 3.21, 4 Sc 3.21
4 Bi 0.2500 0.2500 0.2500  4 Tm 3.21, 4 Sc 3.21

Properties
The calculation puts the spin magnetization at 0.001 μB/f.u. The value obtained for the energy of formation from the pure elements is -318 meV per atom. For the raw total energy, the calculation gives -4.218 eV per atom.


No. 7
Below is crystalline LuSnPd at its relaxed geometry, with properties calculated at the PBE-GGA level.

abc: 4.6234 4.6234 3.5050
angles: 90.00 90.00 120.00
Last column: nearest neighbours and their distance in Å.
Space group P-6m2 (No. 187)
Inequivalent atoms, fractional coordinates:
1 Lu 0.0000 0.0000 0.0000  6 Sn 3.19, 6 Pd 3.19, 2 Lu 3.51
2 Sn 0.3333 0.6667 0.5000  3 Pd 2.67
3 Pd 0.6667 0.3333 0.5000  3 Sn 2.67

Properties
The calculation puts the spin magnetization at 0.000 μB/f.u. The value obtained for the energy of formation from the pure elements is -833 meV per atom. For the raw total energy, the calculation gives -5.405 eV per atom.


No. 8
Below is crystalline Li4AcZnSn2 at its relaxed geometry, with properties calculated at the PBE-GGA level.

abc: 4.7450 4.7450 27.0515
angles: 90.00 90.00 120.00
Last column: nearest neighbours and their distance in Å.
Space group R-3m (No. 166, hexagonal axes)
Inequivalent atoms, fractional coordinates:
1 Li 0.0000 0.0000 0.0908  1 Zn 2.46, 3 Sn 2.75
2 Li 0.0000 0.0000 0.3648  3 Zn 2.87, 4 Sn 3.09-3.13, 3 Li 3.17
3 Ac 0.0000 0.0000 0.5000  8 Li 3.42-3.66, 6 Sn 3.53
4 Zn 0.0000 0.0000 0.0000  2 Li 2.46
5 Sn 0.0000 0.0000 0.2492  3 Li 2.75

Properties
The calculation puts the spin magnetization at 0.000 μB/f.u. The value obtained for the energy of formation from the pure elements is -375 meV per atom. For the raw total energy, the calculation gives -3.006 eV per atom.


Q: Which value of raw total energy does entry 1 give?
A: -4.732 eV per atom